{"formula": "Zn2TeP", "functional": "PBE", "state": "relaxed", "lattice_angstrom": [[1.8753, 1.0827, 6.5178], [-1.8753, 1.0827, 6.5178], [0.0000, -2.1655, 6.5178]], "species": ["Zn", "Zn", "Te", "P"], "fractional_positions": [[0.2324, 0.2324, 0.2324], [0.7676, 0.7676, 0.7676], [0.0000, 0.0000, 0.0000], [0.5000, 0.5000, 0.5000]], "space_group": "No. 166", "relative_energy_mev_per_atom": 176, "mass_density_g_cm3": 6.05, "formation_energy_uncorrected_mev_per_atom": 5, "energy_ev_per_atom": -2.770, "vol_a3_per_atom": 19.9, "m_tot_mub_per_fu": 0.00}